(1)
Computed, not measured: MnCdAu2 after structural relaxation at the GGA-PBE level of DFT.

raw total energy = -3.92 eV/atom

a b c (Å): 6.235 6.235 6.235
angles (deg): 54.27 153.50 133.56
Element x y z (fractional)
Mn 0.000 0.000 0.000
Cd 0.000 0.500 0.500
Au 0.000 0.236 0.236
Au 0.000 0.764 0.764


(2)
Computed, not measured: MnCd4Au5 after structural relaxation at the GGA-PBE level of DFT.

raw total energy = -3.07 eV/atom

a b c (Å): 3.326 3.326 17.124
angles (deg): 90.00 90.00 90.00
Element x y z (fractional)
Mn 0.000 0.000 0.000
Cd 0.000 0.000 0.191
Cd 0.000 0.000 0.397
Cd 0.000 0.000 0.603
Cd 0.000 0.000 0.809
Au 0.500 0.500 0.087
Au 0.500 0.500 0.295
Au 0.500 0.500 0.500
Au 0.500 0.500 0.705
Au 0.500 0.500 0.913


(3)
Computed, not measured: MnCd2Au after structural relaxation at the GGA-PBE level of DFT.

relative energy among the computed polymorphs = 55 meV/atom
raw total energy = -3.50 eV/atom

a b c (Å): 3.049 3.049 8.043
angles (deg): 90.00 90.00 90.00
Element x y z (fractional)
Au 0.500 0.500 0.750
Cd 0.000 0.000 0.007
Cd 0.000 0.000 0.493
Mn 0.500 0.500 0.250